Below is YP2O after structural relaxation, with properties calculated at the GGA-PBE level.

ρ in kg/m³: 3874
Total magnetic moment in μB/f.u.: 0.0
SG: I4_1/amd (141)
Final energy in eV per atom: -6.084

Geometry as CIF:
```
data_YP2O
_symmetry_space_group_name_H-M 'P 1'
_symmetry_Int_Tables_number 1
_cell_length_a 7.035
_cell_length_b 7.035
_cell_length_c 7.035
_cell_angle_alpha 139.93
_cell_angle_beta 139.93
_cell_angle_gamma 57.96
loop_
_symmetry_equiv_pos_as_xyz
'x,y,z'
loop_
_atom_site_label
_atom_site_type_symbol
_atom_site_fract_x
_atom_site_fract_y
_atom_site_fract_z
Y1 Y 0.375 0.625 0.750
Y2 Y 0.625 0.375 0.250
P1 P 0.000 0.000 0.000
P2 P 0.000 0.000 0.500
P3 P 0.000 0.500 0.000
P4 P 0.500 0.000 0.500
O1 O 0.125 0.875 0.250
O2 O 0.875 0.125 0.750
```

Below is YP2O2 after structural relaxation, with properties calculated at the GGA-PBE level.

ρ in kg/m³: 4467
Total magnetic moment in μB/f.u.: 0.0
SG: P4/mmm (123)
Excess energy over the best structure of this formula in the dataset in eV/atom: 0.203
Final energy in eV per atom: -6.588

Geometry as CIF:
```
data_YP2O2
_symmetry_space_group_name_H-M 'P 1'
_symmetry_Int_Tables_number 1
_cell_length_a 3.881
_cell_length_b 3.881
_cell_length_c 4.513
_cell_angle_alpha 90.00
_cell_angle_beta 90.00
_cell_angle_gamma 90.00
loop_
_symmetry_equiv_pos_as_xyz
'x,y,z'
loop_
_atom_site_label
_atom_site_type_symbol
_atom_site_fract_x
_atom_site_fract_y
_atom_site_fract_z
Y1 Y 0.000 0.000 0.000
P1 P 0.500 0.500 0.000
P2 P 0.500 0.500 0.500
O1 O 0.000 0.500 0.500
O2 O 0.500 0.000 0.500
```